[1]
Density functional theory data (PBE) for crystalline Dy2ErRe at its relaxed geometry.

The value obtained for the formation energy is 0.79 eV/atom. Its density of states at the Fermi level is 5.7 states/eV per cell.

a b c (Å): 11.4336 11.4336 11.4336
angles (deg): 16.16 16.16 16.16
Element x y z (fractional)
Dy  0.0793  0.0793  0.0793
Dy  0.9207  0.9207  0.9207
Er  0.5000  0.5000  0.5000
Re  0.0000  0.0000  0.0000

***

[2]
Density functional theory data (PBE) for crystalline CsPrH at its relaxed geometry.

Its density of states at the Fermi level is 3.4 states/eV per cell.

a b c (Å): 15.1080 3.8494 3.8494
angles (deg): 60.06 90.00 90.00
Element x y z (fractional)
Cs  0.1306  0.0000  0.0000
Cs  0.8694  0.0000  0.0000
Pr  0.3930  0.3479  0.3479
Pr  0.6070  0.3479  0.3479
H  0.0000  0.3335  0.3335
H  0.5000  0.0158  0.0158

***

[3]
Density functional theory data (PBE) for crystalline PaPtS6 at its relaxed geometry.

Its density of states at the Fermi level is 1.7 states/eV per cell.

a b c (Å): 5.4987 6.1714 6.3575
angles (deg): 99.01 106.45 115.97
Element x y z (fractional)
Pa  0.0000  0.0000  0.0000
Pt  0.0000  0.5000  0.5000
S  0.0042  0.7954  0.3027
S  0.3522  0.5030  0.3572
S  0.3763  0.8019  0.9231
S  0.6237  0.1981  0.0769
S  0.6478  0.4970  0.6428
S  0.9958  0.2046  0.6973

***

[4]
Density functional theory data (PBE) for crystalline LaSb2Os at its relaxed geometry.

Its density of states at the Fermi level is 5.4 states/eV per cell.

a b c (Å): 5.0749 5.0749 5.0749
angles (deg): 60.00 60.00 60.00
Element x y z (fractional)
La  0.0000  0.0000  0.0000
Sb  0.2500  0.2500  0.2500
Sb  0.7500  0.7500  0.7500
Os  0.5000  0.5000  0.5000

***

[5]
Density functional theory data (PBE) for crystalline Tb3Sm2Tm5 at its relaxed geometry.

The value obtained for the formation energy is 0.42 eV/atom. Its density of states at the Fermi level is 32.7 states/eV per cell.

a b c (Å): 12.2765 12.2765 12.2765
angles (deg): 135.37 55.83 148.22
Element x y z (fractional)
Tb  0.1279  0.7483  0.8763
Tb  0.2500  0.2500  0.0000
Tb  0.3721  0.2483  0.6204
Tb  0.6279  0.7517  0.3796
Tb  0.7500  0.7500  0.0000
Tb  0.8721  0.2517  0.1237
Sm  0.1263  0.0996  0.2260
Sm  0.3737  0.5996  0.9733
Sm  0.6263  0.4004  0.0267
Sm  0.8737  0.9004  0.7740
Tm  0.0021  0.7500  0.2521
Tm  0.1244  0.4128  0.5371
Tm  0.2500  0.7500  0.5000
Tm  0.3756  0.9128  0.2884
Tm  0.4979  0.7500  0.7479
Tm  0.5021  0.2500  0.2521
Tm  0.6244  0.0872  0.7116
Tm  0.7500  0.2500  0.5000
Tm  0.8756  0.5872  0.4629
Tm  0.9979  0.2500  0.7479

***

[6]
Density functional theory data (PBE) for crystalline AcSbS2 at its relaxed geometry.

Its density of states at the Fermi level is 1.4 states/eV per cell.

a b c (Å): 8.8805 8.8805 8.8805
angles (deg): 28.49 28.49 28.49
Element x y z (fractional)
Ac  0.0000  0.0000  0.0000
Sb  0.5000  0.5000  0.5000
S  0.3941  0.3941  0.3941
S  0.6059  0.6059  0.6059

***

| no. | E_tot (eV per atom) |
| --- | --- |
| 1 | -5.768 |
| 2 | -2.827 |
| 3 | -5.618 |
| 4 | -6.042 |
| 5 | -4.151 |
| 6 | -5.180 |